Entry 1:
Entry from Alexandria via LeMat-Bulk: crystalline GaPbW3 at its relaxed geometry (PBEsol).

Geometry as POSCAR:
```
GaPbW3
1.0
-0.1728 3.5332 -3.4407
-4.1214 -1.9942 -1.8409
-2.7085 2.8091 3.0207
Ga W Pb
1 3 1
direct
0.5000 0.5000 0.5000 Ga
0.0000 0.5000 0.0000 W
0.0000 0.0000 0.5000 W
0.5000 0.0000 0.0000 W
0.0000 0.0000 0.0000 Pb
```

## Properties
The space group is Pm-3m, No. 221. The value obtained for the formation energy is 3.28 eV per atom.

---

Entry 2:
Entry from Alexandria via LeMat-Bulk: crystalline SrTe2NCl at its relaxed geometry (PBEsol).

Geometry as POSCAR:
```
SrTe2NCl
1.0
4.2959 0.0000 0.0000
0.0000 5.4536 0.0000
0.0000 0.0000 5.4536
Cl Sr Te N
1 1 2 1
direct
0.0000 0.0000 0.0000 Cl
0.5000 0.5000 0.5000 Sr
0.0000 0.0000 0.5000 Te
0.0000 0.5000 0.0000 Te
0.5000 0.0000 0.0000 N
```

## Properties
The space group is P4/mmm, No. 123. As for the formation energy without anion corrections: 45 kJ/mol of atoms.

---

Entry 3:
Entry from Alexandria via LeMat-Bulk: crystalline RbTlOF2 at its relaxed geometry (PBEsol).

Geometry as POSCAR:
```
RbTlOF2
1.0
-0.1120 -4.0529 -0.0936
4.6203 -0.1331 0.2354
-0.2383 -0.1002 4.6210
F O Rb Tl
2 1 1 1
direct
0.0000 0.5000 0.0000 F
0.0000 0.0000 0.5000 F
0.5000 0.0000 0.0000 O
0.5000 0.5000 0.5000 Rb
0.0000 0.0000 0.0000 Tl
```

## Properties
The space group is P4/mmm, No. 123. As for the formation energy without anion corrections: -169 kJ/mol of atoms.